(1)
6
Lattice="0.000 3.554 3.554 3.554 0.000 3.554 3.554 3.554 0.000" Properties=species:S:1:pos:R:3 comment="NpTlNi4 (PBE, optimized geometry)" space_group="No. 216" total_magnetization_mub_per_cell=2.95 e_tot_ev_per_atom=-6.4292 delta_e_f_ev_per_atom=-0.02 pbc="T T T"
Np 0.000 0.000 0.000
Tl 5.330 5.330 5.330
Ni 2.667 2.667 2.667
Ni 4.440 4.440 2.667
Ni 4.440 2.667 4.440
Ni 2.667 4.440 4.440

---

(2)
12
Lattice="2.440 1.409 8.138 -2.440 1.409 8.138 0.000 -2.818 8.138" Properties=species:S:1:pos:R:3 comment="TmNp2Ni9 (PBE, optimized geometry)" space_group="No. 166" total_magnetization_mub_per_cell=6.38 e_tot_ev_per_atom=-7.1240 delta_e_f_ev_per_atom=-0.26 pbc="T T T"
Tm 0.000 0.000 0.000
Np 0.000 0.000 3.511
Np 0.000 0.000 20.903
Ni -1.220 -0.705 10.145
Ni 0.000 0.000 8.128
Ni 0.000 -1.409 14.269
Ni -1.220 0.705 14.269
Ni 0.000 0.000 12.207
Ni 1.220 -0.705 10.145
Ni 0.000 1.409 10.145
Ni 0.000 0.000 16.286
Ni 1.220 0.705 14.269

---

(3)
6
Lattice="0.000 3.553 3.553 3.553 0.000 3.553 3.553 3.553 0.000" Properties=species:S:1:pos:R:3 comment="TmNpNi4 (PBE, optimized geometry)" space_group="No. 216" total_magnetization_mub_per_cell=3.84 e_tot_ev_per_atom=-7.0095 relative_energy_ev_per_atom=0.055 delta_e_f_ev_per_atom=-0.25 pbc="T T T"
Tm 0.000 0.000 0.000
Np 5.330 5.330 5.330
Ni 2.667 2.667 2.667
Ni 4.440 4.440 2.667
Ni 4.440 2.667 4.440
Ni 2.667 4.440 4.440

---

(4)
12
Lattice="2.464 1.423 8.067 -2.464 1.423 8.067 0.000 -2.846 8.067" Properties=species:S:1:pos:R:3 comment="Tm2NpNi9 (PBE, optimized geometry)" space_group="No. 166" total_magnetization_mub_per_cell=2.27 e_tot_ev_per_atom=-6.4916 delta_e_f_ev_per_atom=-0.33 pbc="T T T"
Tm 0.000 0.000 3.371
Tm 0.000 0.000 20.829
Np 0.000 0.000 0.000
Ni -1.237 -0.714 10.070
Ni 0.000 0.000 8.063
Ni 0.000 -1.429 14.130
Ni -1.237 0.714 14.130
Ni 0.000 0.000 12.100
Ni 1.237 -0.714 10.070
Ni 0.000 1.429 10.070
Ni 0.000 0.000 16.137
Ni 1.237 0.714 14.130

---

(5)
12
Lattice="4.987 0.000 0.000 -2.493 4.319 0.000 0.000 0.000 8.275" Properties=species:S:1:pos:R:3 comment="TmNpNi4 (PBE, optimized geometry)" space_group="No. 164" total_magnetization_mub_per_cell=7.28 e_tot_ev_per_atom=-7.0647 relative_energy_ev_per_atom=0.000 delta_e_f_ev_per_atom=-0.31 pbc="T T T"
Tm 0.000 2.879 3.525
Tm 2.493 1.440 4.749
Np 0.000 2.879 0.310
Np 2.493 1.440 7.965
Ni 0.000 0.000 0.000
Ni 0.000 0.000 4.137
Ni 0.000 1.426 6.182
Ni -1.258 3.605 6.182
Ni 1.235 0.713 2.092
Ni 1.258 3.605 6.182
Ni 3.751 0.713 2.092
Ni 2.493 2.892 2.092

---

(6)
19
Lattice="4.193 2.421 4.202 -4.193 2.421 4.202 0.000 -4.842 4.202" Properties=species:S:1:pos:R:3 comment="Tm2Np2Ni15 (PBE, optimized geometry)" space_group="No. 166" total_magnetization_mub_per_cell=0.00 e_tot_ev_per_atom=-6.6231 delta_e_f_ev_per_atom=-0.23 pbc="T T T"
Tm 0.000 0.000 1.794
Tm 0.000 0.000 10.812
Np 0.000 0.000 5.159
Np 0.000 0.000 7.447
Ni -2.097 -1.211 4.202
Ni 0.000 -2.449 4.107
Ni -2.120 1.224 4.107
Ni -1.337 -2.315 6.303
Ni -2.673 0.000 6.303
Ni -2.120 -1.224 8.498
Ni -2.097 1.211 8.404
Ni 1.337 -2.315 6.303
Ni 0.000 2.421 4.202
Ni -1.337 2.315 6.303
Ni 2.120 1.224 4.107
Ni 2.673 0.000 6.303
Ni 1.337 2.315 6.303
Ni 2.120 -1.224 8.498
Ni 0.000 2.449 8.498